# 1
Below is KY4Se6 after structural relaxation, with properties calculated at the PBE-GGA level.

The space group is Cmcm (No. 63) and the conventional cell measures 4.131, 13.718 and 21.745 Å, with angles of 90.00, 90.00 and 90.00 degrees. The distinct sites, in fractional coordinates, are K at (0.000, 0.156, 0.250), Y at (0.000, 0.096, 0.633), Y at (0.000, 0.367, 0.541), Se at (0.000, 0.000, 0.000), Se at (0.000, 0.163, 0.750), Se at (0.000, 0.272, 0.080) and Se at (0.000, 0.461, 0.654).

The raw formation energy comes out at -172.8 kJ per mole of atoms. Its volume is 1232.35 Å³ per cell. The density of states at the Fermi level comes out at 2.445 states/eV/f.u. For the uncorrected energy, the calculation gives -6.142 eV/atom.

# 2
Below is KY2Se after structural relaxation, with properties calculated at the PBE-GGA level.

The space group is I-4m2 (No. 119) and the conventional cell measures 4.546, 4.546 and 11.478 Å, with angles of 90.00, 90.00 and 90.00 degrees. The distinct sites, in fractional coordinates, are K at (0.000, 0.000, 0.000), Y at (0.000, 0.000, 0.500), Y at (0.000, 0.500, 0.250) and Se at (0.000, 0.500, 0.750).

The raw formation energy comes out at -5.8 kJ per mole of atoms. Its volume is 237.23 Å³ per cell. The density of states at the Fermi level comes out at 3.717 states/eV/f.u. For the uncorrected energy, the calculation gives -4.437 eV/atom.

# 3
Below is KY3Se after structural relaxation, with properties calculated at the PBE-GGA level.

The space group is Pm-3m (No. 221) and the conventional cell measures 5.450, 5.450 and 5.450 Å, with angles of 90.00, 90.00 and 90.00 degrees. The distinct sites, in fractional coordinates, are K at (0.000, 0.000, 0.000), Y at (0.000, 0.000, 0.500) and Se at (0.500, 0.500, 0.500).

The raw formation energy comes out at 113.4 kJ per mole of atoms. Its volume is 161.90 Å³ per cell. The density of states at the Fermi level comes out at 4.304 states/eV/f.u. Its offset from the most stable computed form is 6.94 eV/f.u. For the uncorrected energy, the calculation gives -3.619 eV/atom.

# 4
Below is KYSe2 after structural relaxation, with properties calculated at the PBE-GGA level.

The space group is Pnma (No. 62) and the conventional cell measures 7.851, 4.608 and 14.322 Å, with angles of 90.00, 90.00 and 90.00 degrees. The distinct sites, in fractional coordinates, are K at (0.089, 0.250, 0.137), Y at (0.080, 0.750, 0.385), Se at (0.157, 0.250, 0.755) and Se at (0.198, 0.250, 0.477).

The raw formation energy comes out at -158.6 kJ per mole of atoms. Its volume is 518.14 Å³ per cell. The density of states at the Fermi level comes out at 0.000 states/eV/f.u. For the uncorrected energy, the calculation gives -5.276 eV/atom.

# 5
Below is KY4Se5 after structural relaxation, with properties calculated at the PBE-GGA level.

The space group is C2/m (No. 12) and the conventional cell measures 13.985, 4.112 and 10.318 Å, with angles of 90.00, 120.06 and 90.00 degrees. The distinct sites, in fractional coordinates, are K at (0.000, 0.000, 0.000), Y at (0.092, 0.500, 0.402), Y at (0.199, 0.000, 0.786), Se at (0.000, 0.000, 0.500), Se at (0.114, 0.500, 0.893) and Se at (0.203, 0.000, 0.315).

The raw formation energy comes out at -167.5 kJ per mole of atoms. Its volume is 513.55 Å³ per cell. The density of states at the Fermi level comes out at 3.861 states/eV/f.u. For the uncorrected energy, the calculation gives -6.174 eV/atom.

# 6
Below is KYSe2 after structural relaxation, with properties calculated at the PBE-GGA level.

The space group is P-3m1 (No. 164) and the conventional cell measures 4.1840, 4.1840 and 7.9168 Å, with angles of 90.00, 90.00 and 120.00 degrees. The distinct sites, in fractional coordinates, are K at (0.0000, 0.0000, 0.0000), Y at (0.0000, 0.0000, 0.5000) and Se at (0.3333, 0.6667, 0.7034).

The raw formation energy comes out at -167.8 kJ per mole of atoms. Its volume is 120.02 Å³ per cell. The density of states at the Fermi level comes out at 0.000 states/eV/f.u. For the uncorrected energy, the calculation gives -5.372 eV/atom.

# 7
Below is KY2Se after structural relaxation, with properties calculated at the PBE-GGA level.

The space group is P2/m (No. 10) and the conventional cell measures 4.112, 4.807 and 7.004 Å, with angles of 90.00, 105.96 and 90.00 degrees. The distinct sites, in fractional coordinates, are K at (0.000, 0.000, 0.000), Y at (0.367, 0.500, 0.701) and Se at (0.500, 0.000, 0.500).

The raw formation energy comes out at -27.6 kJ per mole of atoms. Its volume is 133.10 Å³ per cell. The density of states at the Fermi level comes out at 4.641 states/eV/f.u. For the uncorrected energy, the calculation gives -4.664 eV/atom.

# 8
Below is KY3Se4 after structural relaxation, with properties calculated at the PBE-GGA level.

The space group is P6_3/mmc (No. 194) and the conventional cell measures 4.1474, 4.1474 and 28.7055 Å, with angles of 90.00, 90.00 and 120.00 degrees. The distinct sites, in fractional coordinates, are K at (0.3333, 0.6667, 0.2500), Y at (0.0000, 0.0000, 0.0000), Y at (0.3333, 0.6667, 0.6152), Se at (0.0000, 0.0000, 0.1705) and Se at (0.3333, 0.6667, 0.0575).

The raw formation energy comes out at -170.1 kJ per mole of atoms. Its volume is 427.60 Å³ per cell. The density of states at the Fermi level comes out at 3.296 states/eV/f.u. For the uncorrected energy, the calculation gives -6.067 eV/atom.

# 9
Below is KYSe2 after structural relaxation, with properties calculated at the PBE-GGA level.

The space group is Cmcm (No. 63) and the conventional cell measures 3.973, 22.982 and 5.528 Å, with angles of 90.00, 90.00 and 90.00 degrees. The distinct sites, in fractional coordinates, are K at (0.000, 0.051, 0.250), Y at (0.000, 0.317, 0.250), Se at (0.000, 0.096, 0.750) and Se at (0.000, 0.197, 0.250).

The raw formation energy comes out at -129.5 kJ per mole of atoms. Its volume is 504.77 Å³ per cell. The density of states at the Fermi level comes out at 0.000 states/eV/f.u. For the uncorrected energy, the calculation gives -4.974 eV/atom.

# 10
Below is KYSe2 after structural relaxation, with properties calculated at the PBE-GGA level.

The space group is P4mm (No. 99) and the conventional cell measures 4.138, 4.138 and 7.782 Å, with angles of 90.00, 90.00 and 90.00 degrees. The distinct sites, in fractional coordinates, are K at (0.000, 0.000, 0.000), Y at (0.500, 0.500, 0.469), Se at (0.000, 0.000, 0.555) and Se at (0.500, 0.500, 0.141).

The raw formation energy comes out at -141.4 kJ per mole of atoms. Its volume is 133.23 Å³ per cell. For the uncorrected energy, the calculation gives -5.099 eV/atom.

# 11
Below is KYSe2 after structural relaxation, with properties calculated at the PBE-GGA level.

The space group is C2/m (No. 12) and the conventional cell measures 7.391, 7.398 and 3.705 Å, with angles of 90.00, 94.94 and 90.00 degrees. The distinct sites, in fractional coordinates, are K at (0.000, 0.000, 0.000), Y at (0.000, 0.500, 0.000) and Se at (0.250, 0.250, 0.500).

The raw formation energy comes out at -118.3 kJ per mole of atoms. Its volume is 201.86 Å³ per cell. The density of states at the Fermi level comes out at 0.872 states/eV/f.u. For the uncorrected energy, the calculation gives -4.859 eV/atom.

# 12
Below is K2YSe2 after structural relaxation, with properties calculated at the PBE-GGA level.

The space group is P4/mbm (No. 127) and the conventional cell measures 7.970, 7.970 and 4.862 Å, with angles of 90.00, 90.00 and 90.00 degrees. The distinct sites, in fractional coordinates, are K at (0.135, 0.365, 0.000), Y at (0.000, 0.000, 0.500) and Se at (0.182, 0.682, 0.500).

The raw formation energy comes out at -111.1 kJ per mole of atoms. Its volume is 308.88 Å³ per cell. The density of states at the Fermi level comes out at 1.168 states/eV/f.u. For the uncorrected energy, the calculation gives -4.277 eV/atom.

Question: Number 5 is which compound?
Answer: KY4Se5

Question: Number 6 is which compound?
Answer: KYSe2

Copy entry 4 word for word.
Below is KYSe2 after structural relaxation, with properties calculated at the PBE-GGA level.

The space group is Pnma (No. 62) and the conventional cell measures 7.851, 4.608 and 14.322 Å, with angles of 90.00, 90.00 and 90.00 degrees. The distinct sites, in fractional coordinates, are K at (0.089, 0.250, 0.137), Y at (0.080, 0.750, 0.385), Se at (0.157, 0.250, 0.755) and Se at (0.198, 0.250, 0.477).

The raw formation energy comes out at -158.6 kJ per mole of atoms. Its volume is 518.14 Å³ per cell. The density of states at the Fermi level comes out at 0.000 states/eV/f.u. For the uncorrected energy, the calculation gives -5.276 eV/atom.